No. 1
A plane-wave DFT calculation with PBE was carried out for a relaxed YB3F crystal.

Summary:
For the total energy, the calculation gives -23.177 eV per cell. As for the crystal system: cubic. The spin magnetization comes out at 0.00 μB/f.u.

Cell: 3.985 3.985 3.985 Å, 90.00 90.00 90.00°
Atoms (fractional coordinates):
Y  0.500  0.500  0.500
F  0.000  0.000  0.000
B  0.000  0.500  0.000
B  0.000  0.000  0.500
B  0.500  0.000  0.000


No. 2
A plane-wave DFT calculation with PBE was carried out for a relaxed YB2F crystal.

Summary:
For the total energy, the calculation gives -19.147 eV per cell. As for the crystal system: cubic. The spin magnetization comes out at 0.00 μB/f.u.

Cell: 4.274 4.274 4.274 Å, 60.00 60.00 60.00°
Atoms (fractional coordinates):
B  0.250  0.250  0.250
Y  0.500  0.500  0.500
F  0.000  0.000  0.000
B  0.750  0.750  0.750


No. 3
A plane-wave DFT calculation with PBE was carried out for a relaxed YB3F crystal.

Summary:
For the total energy, the calculation gives -17.485 eV per cell. As for the crystal system: cubic. The spin magnetization comes out at 0.00 μB/f.u.

Cell: 4.941 4.941 4.941 Å, 90.00 90.00 90.00°
Atoms (fractional coordinates):
B  0.000  0.000  0.500
B  0.000  0.500  0.000
F  0.500  0.500  0.500
B  0.500  0.000  0.000
Y  0.000  0.000  0.000


No. 4
A plane-wave DFT calculation with PBE was carried out for a relaxed YBF crystal.

Summary:
For the total energy, the calculation gives -39.947 eV per cell. As for the crystal system: monoclinic. The spin magnetization comes out at 0.00 μB/f.u.

Cell: 4.104 4.104 6.330 Å, 85.94 85.94 77.52°
Atoms (fractional coordinates):
B  0.647  0.353  0.000
B  0.353  0.647  0.000
F  0.817  0.817  0.415
Y  0.152  0.152  0.229
F  0.183  0.183  0.585
Y  0.848  0.848  0.771